1.
CaPm2Y3 | Alexandria via LeMat-Bulk | PBE-GGA | optimized geometry; raw total energy = -0.362 Ry per atom; D(E_F) = 1.452 states/eV per atom; total moment = 0.0 μB/cell
1.0
6.7622 0.0000 0.0000
-3.3811 5.8562 -0.0004
0.0000 -0.0003 10.9130
Pm Y Ca
4 6 2
direct
0.0000 0.0000 0.5000 Pm
0.6667 0.3333 0.4277 Pm
0.3333 0.6667 0.5723 Pm
0.0000 0.0000 0.0000 Pm
0.3379 0.1690 0.7416 Y
0.6621 0.8310 0.2584 Y
0.1689 0.8310 0.2584 Y
0.8311 0.1690 0.7416 Y
0.1690 0.3379 0.2584 Y
0.8310 0.6621 0.7416 Y
0.6667 0.3334 0.0641 Ca
0.3333 0.6666 0.9359 Ca

2.
Cs4KPt2 | Alexandria via LeMat-Bulk | PBE-GGA | optimized geometry; raw total energy = -0.153 Ry per atom; D(E_F) = 0.499 states/eV per atom; total moment = 0.0 μB/cell
1.0
7.1991 0.0000 0.0000
0.0000 7.1991 0.0000
3.5995 3.5995 8.6044
Cs Pt K
4 2 1
direct
0.5000 0.0000 0.0000 Cs
0.0000 0.5000 0.0000 Cs
0.7430 0.7430 0.5140 Cs
0.2570 0.2570 0.4860 Cs
0.5735 0.5735 0.8531 Pt
0.4265 0.4265 0.1469 Pt
0.0000 0.0000 0.0000 K

Q: Which formula does entry 1 have?
A: CaPm2Y3